Density functional theory data (PBE) for a relaxed structure of Nb2HO5.

Space-group type   C2/m (12)
Calculated total energy   -8.234 eV per atom

extended XYZ file:
```
16
Lattice="5.479 -1.952 0.000 5.479 1.952 0.000 -0.314 0.000 9.973" Properties=species:S:1:pos:R:3 pbc="T T T"
Nb 1.308 0.000 4.432
Nb 1.592 0.000 0.703
Nb 9.051 0.000 9.270
Nb 9.335 0.000 5.542
H 0.300 0.000 7.831
H 10.343 0.000 2.142
O 0.068 0.000 8.823
O 0.190 0.000 6.207
O 1.938 0.000 2.542
O 3.132 0.000 9.589
O 3.361 0.000 5.326
O 7.283 0.000 4.647
O 7.511 0.000 0.385
O 8.705 0.000 7.432
O 10.453 0.000 3.767
O 10.575 0.000 1.151
```

Density functional theory data (PBE) for a relaxed structure of Cd2Ni2H3.

Space-group type   C2/m (12)
Calculated total energy   -3.210 eV per atom

extended XYZ file:
```
7
Lattice="5.119 -1.434 0.000 5.119 1.434 0.000 -3.059 0.000 5.061" Properties=species:S:1:pos:R:3 pbc="T T T"
Cd 1.353 0.000 0.070
Cd 5.825 0.000 4.991
Ni -0.203 0.000 2.555
Ni 7.381 0.000 2.506
H 1.510 0.000 2.937
H 3.589 0.000 2.531
H 5.668 0.000 2.124
```

Density functional theory data (PBE) for a relaxed structure of Rb2UTlBr8.

Space-group type   P-1 (2)
Uncorrected formation energy   -1.3105 eV/atom
Calculated total energy   -3.725 eV per atom

extended XYZ file:
```
12
Lattice="7.012 0.000 0.000 -0.204 7.989 0.000 -0.001 -0.010 10.132" Properties=species:S:1:pos:R:3 pbc="T T T"
Rb 0.013 0.000 2.441
Rb 6.794 7.980 7.691
U 3.403 3.990 5.066
Tl 3.404 3.995 0.000
Br 1.480 1.584 10.125
Br 1.785 4.962 3.132
Br 1.792 4.972 7.001
Br 2.003 1.651 5.074
Br 4.804 6.328 5.058
Br 5.015 3.007 3.132
Br 5.022 3.017 7.000
Br 5.327 6.395 0.007
```

Density functional theory data (PBE) for a relaxed structure of TlCuAsO5.

Space-group type   C2/c (15)
Uncorrected formation energy   -0.8145 eV/atom
Calculated total energy   -5.302 eV per atom

extended XYZ file:
```
16
Lattice="4.115 -4.345 0.000 4.115 4.345 0.000 -3.762 0.000 6.894" Properties=species:S:1:pos:R:3 pbc="T T T"
Tl 0.000 0.000 0.000
Tl -1.881 0.000 3.447
Cu 1.294 1.577 5.170
Cu 3.175 -1.577 1.723
As 3.175 1.178 1.723
As 1.294 -1.178 5.170
O 1.294 3.403 5.170
O 3.831 2.085 0.440
O 2.518 2.085 3.007
O 0.188 0.072 4.597
O 2.069 -0.072 1.150
O 2.400 0.072 5.744
O 4.281 -0.072 2.297
O 1.950 -2.085 3.887
O 0.637 -2.085 6.454
O 3.175 -3.403 1.723
```